No. 1
AlRuBr | Alexandria | PBE | relaxed; formation energy from raw total energies = 0.104 eV per atom; space group = P3m1
1.0
3.200 0.000 0.000
-1.600 2.771 0.000
0.000 0.000 5.942
Al Ru Br
1 1 1
Direct
0.000 0.000 0.000
0.333 0.667 0.722
0.667 0.333 0.341

No. 2
Al2RuBr | Alexandria | PBE | relaxed; formation energy from raw total energies = 0.438 eV per atom; space group = I-4m2
1.0
4.286 0.000 0.000
0.000 4.286 0.000
0.000 0.000 7.346
Al Ru Br
4 2 2
Direct
0.000 0.000 0.000
0.000 0.500 0.250
0.500 0.000 0.750
0.500 0.500 0.500
0.000 0.000 0.500
0.500 0.500 0.000
0.000 0.500 0.750
0.500 0.000 0.250

No. 3
Al2RuBr | Alexandria | PBE | relaxed; formation energy from raw total energies = 0.418 eV per atom; space group = Pmmm
1.0
3.060 0.000 0.000
0.000 4.628 0.000
0.000 0.000 4.721
Al Ru Br
2 1 1
Direct
0.000 0.000 0.000
0.500 0.500 0.000
0.000 0.500 0.500
0.500 0.000 0.500

No. 4
AlRu2Br | Alexandria | PBE | relaxed; formation energy from raw total energies = 0.770 eV per atom; space group = F-43m
1.0
6.406 0.000 0.000
0.000 6.406 0.000
0.000 0.000 6.406
Al Ru Br
4 8 4
Direct
0.000 0.000 0.000
0.000 0.500 0.500
0.500 0.000 0.500
0.500 0.500 0.000
0.000 0.000 0.500
0.000 0.500 0.000
0.250 0.250 0.750
0.250 0.750 0.250
0.500 0.000 0.000
0.500 0.500 0.500
0.750 0.250 0.250
0.750 0.750 0.750
0.250 0.250 0.250
0.250 0.750 0.750
0.750 0.250 0.750
0.750 0.750 0.250

The calculation returns the following excess energy over the best structure of this formula in the dataset values, one per record and in order: 0.0, 847.9, 828.0, 676.5 meV per atom.